Record 1
The following is a DFT calculation (PBE) of crystalline NbAsOsBr2 at its relaxed geometry.

Summary:
As for the mass density: 6893 kg/m3. The raw total energy is -23.69 eV for the cell shown. The uncorrected formation energy comes out at 1.121 eV/atom.

Unit cell a=5.1766 b=5.1766 c=4.6558 alpha=90.00 beta=90.00 gamma=90.00
With the nearest neighbours (Å) after each atom.
Element x y z (fractional)
Nb1 0.0000 0.0000 0.0000  8 Br 3.48, 4 As 3.66
As1 0.5000 0.5000 0.0000  2 Os 2.33
Os1 0.5000 0.5000 0.5000  2 As 2.33, 4 Br 2.59
Br1 0.0000 0.5000 0.5000  2 Os 2.59
Br2 0.5000 0.0000 0.5000  2 Os 2.59

Record 2
The following is a DFT calculation (PBE) of crystalline NbAsOsBr2 at its relaxed geometry.

Summary:
As for the mass density: 6470 kg/m3. The raw total energy is -23.00 eV for the cell shown. The uncorrected formation energy comes out at 1.258 eV/atom.

Unit cell a=5.0608 b=5.0608 c=5.1894 alpha=90.00 beta=90.00 gamma=90.00
With the nearest neighbours (Å) after each atom.
Element x y z (fractional)
Nb1 0.0000 0.0000 0.0000  4 Br 2.53, 2 As 2.59
As1 0.0000 0.0000 0.5000  2 Nb 2.59
Os1 0.5000 0.5000 0.5000  4 As 3.58, 8 Br 3.62
Br1 0.0000 0.5000 0.0000  2 Nb 2.53
Br2 0.5000 0.0000 0.0000  2 Nb 2.53

Record 3
The following is a DFT calculation (PBE) of crystalline NbAsPbBr2 at its relaxed geometry.

Summary:
As for the mass density: 6363 kg/m3. The raw total energy is -21.91 eV for the cell shown. The uncorrected formation energy comes out at -0.027 eV/atom.

Unit cell a=5.1976 b=5.1976 c=5.1667 alpha=90.00 beta=90.00 gamma=90.00
With the nearest neighbours (Å) after each atom.
Element x y z (fractional)
Nb1 0.0000 0.0000 0.0000  2 As 2.58, 4 Br 2.60
As1 0.0000 0.0000 0.5000  2 Nb 2.58
Pb1 0.5000 0.5000 0.5000  8 Br 3.66, 4 As 3.68
Br1 0.0000 0.5000 0.0000  2 Nb 2.60
Br2 0.5000 0.0000 0.0000  2 Nb 2.60

Record 4
The following is a DFT calculation (PBE) of crystalline NbAs2PtBr at its relaxed geometry.

Summary:
As for the mass density: 6896 kg/m3. The raw total energy is -23.54 eV for the cell shown. The uncorrected formation energy comes out at 0.708 eV/atom.

Unit cell a=5.0552 b=5.0552 c=4.8786 alpha=90.00 beta=90.00 gamma=90.00
With the nearest neighbours (Å) after each atom.
Element x y z (fractional)
Nb1 0.0000 0.0000 0.0000  2 Br 2.44, 4 As 2.53
As1 0.0000 0.5000 0.0000  2 Nb 2.53
As2 0.5000 0.0000 0.0000  2 Nb 2.53
Pt1 0.5000 0.5000 0.5000  8 As 3.51, 4 Br 3.57
Br1 0.0000 0.0000 0.5000  2 Nb 2.44

Record 5
The following is a DFT calculation (PBE) of crystalline Nb2AsPtBr at its relaxed geometry.

Summary:
As for the mass density: 8256 kg/m3. The raw total energy is -26.62 eV for the cell shown. The uncorrected formation energy comes out at 1.177 eV/atom.

Unit cell a=4.8101 b=4.8101 c=4.6571 alpha=90.00 beta=90.00 gamma=90.00
With the nearest neighbours (Å) after each atom.
Element x y z (fractional)
Nb1 0.0000 0.5000 0.0000  2 Br 2.41
Nb2 0.5000 0.0000 0.0000  2 Br 2.41
As1 0.0000 0.0000 0.5000  8 Nb 3.35, 4 Pt 3.40
Pt1 0.5000 0.5000 0.5000  2 Br 2.33
Br1 0.5000 0.5000 0.0000  2 Pt 2.33, 4 Nb 2.41

Record 6
The following is a DFT calculation (PBE) of crystalline NbAs2PtBr at its relaxed geometry.

Summary:
As for the mass density: 7165 kg/m3. The raw total energy is -22.83 eV for the cell shown. The uncorrected formation energy comes out at 0.850 eV/atom.

Unit cell a=4.8529 b=4.8529 c=5.0951 alpha=90.00 beta=90.00 gamma=90.00
With the nearest neighbours (Å) after each atom.
Element x y z (fractional)
Nb1 0.0000 0.0000 0.0000  4 Br 3.43, 8 As 3.52
As1 0.0000 0.5000 0.5000  2 Pt 2.43
As2 0.5000 0.0000 0.5000  2 Pt 2.43
Pt1 0.5000 0.5000 0.5000  4 As 2.43, 2 Br 2.55
Br1 0.5000 0.5000 0.0000  2 Pt 2.55

Record 7
The following is a DFT calculation (PBE) of crystalline RbNbAs2Br at its relaxed geometry.

Summary:
As for the mass density: 3889 kg/m3. The raw total energy is -13.58 eV for the cell shown. The uncorrected formation energy comes out at 1.685 eV/atom.

Unit cell a=5.5065 b=5.5065 c=5.7467 alpha=90.00 beta=90.00 gamma=90.00
With the nearest neighbours (Å) after each atom.
Element x y z (fractional)
Rb1 0.0000 0.0000 0.0000  4 As 2.75, 2 Br 2.87
Nb1 0.5000 0.5000 0.5000  4 Br 3.89, 8 As 3.98
As1 0.0000 0.5000 0.0000  2 Rb 2.75
As2 0.5000 0.0000 0.0000  2 Rb 2.75
Br1 0.0000 0.0000 0.5000  2 Rb 2.87

Record 8
The following is a DFT calculation (PBE) of crystalline RbNbAs2Br at its relaxed geometry.

Summary:
As for the mass density: 4706 kg/m3. The raw total energy is -24.17 eV for the cell shown. The uncorrected formation energy comes out at -0.432 eV/atom.

Unit cell a=5.0151 b=5.0151 c=5.7258 alpha=90.00 beta=90.00 gamma=90.00
With the nearest neighbours (Å) after each atom.
Element x y z (fractional)
Rb1 0.0000 0.0000 0.0000  4 Br 3.55, 8 As 3.81
Nb1 0.5000 0.5000 0.5000  4 As 2.51
As1 0.0000 0.5000 0.5000  2 Nb 2.51
As2 0.5000 0.0000 0.5000  2 Nb 2.51
Br1 0.5000 0.5000 0.0000  2 Nb 2.86

Record 9
The following is a DFT calculation (PBE) of crystalline NbAsRhBr2 at its relaxed geometry.

Summary:
As for the mass density: 5354 kg/m3. The raw total energy is -22.13 eV for the cell shown. The uncorrected formation energy comes out at 0.656 eV/atom.

Unit cell a=5.1084 b=5.1084 c=5.1166 alpha=90.00 beta=90.00 gamma=90.00
With the nearest neighbours (Å) after each atom.
Element x y z (fractional)
Nb1 0.0000 0.0000 0.0000  4 Br 2.55, 2 As 2.56
As1 0.0000 0.0000 0.5000  2 Nb 2.56
Rh1 0.5000 0.5000 0.5000  4 As 3.61, 8 Br 3.62
Br1 0.0000 0.5000 0.0000  2 Nb 2.55
Br2 0.5000 0.0000 0.0000  2 Nb 2.55

Record 10
The following is a DFT calculation (PBE) of crystalline NbAs2RhBr at its relaxed geometry.

Summary:
As for the mass density: 5551 kg/m3. The raw total energy is -24.64 eV for the cell shown. The uncorrected formation energy comes out at 0.751 eV/atom.

Unit cell a=4.9742 b=4.9742 c=5.1454 alpha=90.00 beta=90.00 gamma=90.00
With the nearest neighbours (Å) after each atom.
Element x y z (fractional)
Nb1 0.0000 0.0000 0.0000  4 As 2.49, 2 Br 2.57
As1 0.0000 0.5000 0.0000  2 Nb 2.49
As2 0.5000 0.0000 0.0000  2 Nb 2.49
Rh1 0.5000 0.5000 0.5000  4 Br 3.52, 8 As 3.58
Br1 0.0000 0.0000 0.5000  2 Nb 2.57

Record 11
The following is a DFT calculation (PBE) of crystalline NbAsRhBr2 at its relaxed geometry.

Summary:
As for the mass density: 5839 kg/m3. The raw total energy is -21.75 eV for the cell shown. The uncorrected formation energy comes out at 0.733 eV/atom.

Unit cell a=5.0989 b=5.0989 c=4.7092 alpha=90.00 beta=90.00 gamma=90.00
With the nearest neighbours (Å) after each atom.
Element x y z (fractional)
Nb1 0.0000 0.0000 0.0000  8 Br 3.47, 4 As 3.61
As1 0.5000 0.5000 0.0000  2 Rh 2.35
Rh1 0.5000 0.5000 0.5000  2 As 2.35, 4 Br 2.55
Br1 0.0000 0.5000 0.5000  2 Rh 2.55
Br2 0.5000 0.0000 0.5000  2 Rh 2.55

Record 12
The following is a DFT calculation (PBE) of crystalline NbAs2RhBr at its relaxed geometry.

Summary:
As for the mass density: 6164 kg/m3. The raw total energy is -24.67 eV for the cell shown. The uncorrected formation energy comes out at 0.744 eV/atom.

Unit cell a=4.7319 b=4.7319 c=5.1200 alpha=90.00 beta=90.00 gamma=90.00
With the nearest neighbours (Å) after each atom.
Element x y z (fractional)
Nb1 0.0000 0.0000 0.0000  4 Br 3.35, 8 As 3.49
As1 0.0000 0.5000 0.5000  2 Rh 2.37
As2 0.5000 0.0000 0.5000  2 Rh 2.37
Rh1 0.5000 0.5000 0.5000  4 As 2.37, 2 Br 2.56
Br1 0.5000 0.5000 0.0000  2 Rh 2.56

Record 13
The following is a DFT calculation (PBE) of crystalline NbAs2SBr at its relaxed geometry.

Summary:
As for the mass density: 4626 kg/m3. The raw total energy is -22.79 eV for the cell shown. The uncorrected formation energy comes out at 0.476 eV/atom.

Unit cell a=5.0908 b=5.0908 c=4.9126 alpha=90.00 beta=90.00 gamma=90.00
With the nearest neighbours (Å) after each atom.
Element x y z (fractional)
Nb1 0.0000 0.0000 0.0000  2 Br 2.46, 4 As 2.55
As1 0.0000 0.5000 0.0000  2 Nb 2.55
As2 0.5000 0.0000 0.0000  2 Nb 2.55
S1 0.5000 0.5000 0.5000  8 As 3.54, 4 Br 3.60
Br1 0.0000 0.0000 0.5000  2 Nb 2.46

Record 14
The following is a DFT calculation (PBE) of crystalline NbAs2SBr at its relaxed geometry.

Summary:
As for the mass density: 5270 kg/m3. The raw total energy is -20.41 eV for the cell shown. The uncorrected formation energy comes out at 0.952 eV/atom.

Unit cell a=4.7389 b=4.7389 c=4.9768 alpha=90.00 beta=90.00 gamma=90.00
With the nearest neighbours (Å) after each atom.
Element x y z (fractional)
Nb1 0.0000 0.0000 0.0000  4 Br 3.35, 8 As 3.44
As1 0.0000 0.5000 0.5000  2 S 2.37
As2 0.5000 0.0000 0.5000  2 S 2.37
S1 0.5000 0.5000 0.5000  4 As 2.37, 2 Br 2.49
Br1 0.5000 0.5000 0.0000  2 S 2.49

Record 15
The following is a DFT calculation (PBE) of crystalline NbAsSeBr2 at its relaxed geometry.

Summary:
As for the mass density: 4837 kg/m3. The raw total energy is -20.74 eV for the cell shown. The uncorrected formation energy comes out at 0.162 eV/atom.

Unit cell a=5.2507 b=5.2507 c=5.0625 alpha=90.00 beta=90.00 gamma=90.00
With the nearest neighbours (Å) after each atom.
Element x y z (fractional)
Nb1 0.0000 0.0000 0.0000  2 Se 2.53, 4 Br 2.63
As1 0.5000 0.5000 0.5000  8 Br 3.65, 4 Se 3.71
Se1 0.0000 0.0000 0.5000  2 Nb 2.53
Br1 0.0000 0.5000 0.0000  2 Nb 2.63
Br2 0.5000 0.0000 0.0000  2 Nb 2.63

Record 16
The following is a DFT calculation (PBE) of crystalline NbAsSe2Br at its relaxed geometry.

Summary:
As for the mass density: 5211 kg/m3. The raw total energy is -23.32 eV for the cell shown. The uncorrected formation energy comes out at 0.009 eV/atom.

Unit cell a=4.9467 b=4.9467 c=5.2822 alpha=90.00 beta=90.00 gamma=90.00
With the nearest neighbours (Å) after each atom.
Element x y z (fractional)
Nb1 0.0000 0.0000 0.0000  4 Se 2.47, 2 As 2.64
As1 0.0000 0.0000 0.5000  2 Nb 2.64
Se1 0.0000 0.5000 0.0000  2 Nb 2.47
Se2 0.5000 0.0000 0.0000  2 Nb 2.47
Br1 0.5000 0.5000 0.5000  4 As 3.50, 8 Se 3.62

Record 17
The following is a DFT calculation (PBE) of crystalline NbAsSe2Br at its relaxed geometry.

Summary:
As for the mass density: 5197 kg/m3. The raw total energy is -19.69 eV for the cell shown. The uncorrected formation energy comes out at 0.733 eV/atom.

Unit cell a=5.0999 b=5.0999 c=4.9833 alpha=90.00 beta=90.00 gamma=90.00
With the nearest neighbours (Å) after each atom.
Element x y z (fractional)
Nb1 0.0000 0.0000 0.0000  8 Se 3.57, 4 Br 3.61
As1 0.5000 0.5000 0.5000  2 Br 2.49, 4 Se 2.55
Se1 0.0000 0.5000 0.5000  2 As 2.55
Se2 0.5000 0.0000 0.5000  2 As 2.55
Br1 0.5000 0.5000 0.0000  2 As 2.49

Record 18
The following is a DFT calculation (PBE) of crystalline NbAsSe2Br at its relaxed geometry.

Summary:
As for the mass density: 5020 kg/m3. The raw total energy is -22.44 eV for the cell shown. The uncorrected formation energy comes out at 0.183 eV/atom.

Unit cell a=5.0721 b=5.0721 c=5.2161 alpha=90.00 beta=90.00 gamma=90.00
With the nearest neighbours (Å) after each atom.
Element x y z (fractional)
Nb1 0.0000 0.0000 0.0000  4 Se 2.54, 2 Br 2.61
As1 0.5000 0.5000 0.5000  4 Br 3.59, 8 Se 3.64
Se1 0.0000 0.5000 0.0000  2 Nb 2.54
Se2 0.5000 0.0000 0.0000  2 Nb 2.54
Br1 0.0000 0.0000 0.5000  2 Nb 2.61

Record 19
The following is a DFT calculation (PBE) of crystalline NbAsSeBr2 at its relaxed geometry.

Summary:
As for the mass density: 5103 kg/m3. The raw total energy is -20.45 eV for the cell shown. The uncorrected formation energy comes out at 0.219 eV/atom.

Unit cell a=4.9663 b=4.9663 c=5.3648 alpha=90.00 beta=90.00 gamma=90.00
With the nearest neighbours (Å) after each atom.
Element x y z (fractional)
Nb1 0.0000 0.0000 0.0000  4 Br 2.48, 2 As 2.68
As1 0.0000 0.0000 0.5000  2 Nb 2.68
Se1 0.5000 0.5000 0.5000  4 As 3.51, 8 Br 3.66
Br1 0.0000 0.5000 0.0000  2 Nb 2.48
Br2 0.5000 0.0000 0.0000  2 Nb 2.48

Record 20
The following is a DFT calculation (PBE) of crystalline NbAsSe2Br at its relaxed geometry.

Summary:
As for the mass density: 5280 kg/m3. The raw total energy is -17.01 eV for the cell shown. The uncorrected formation energy comes out at 1.269 eV/atom.

Unit cell a=5.0628 b=5.0628 c=4.9776 alpha=90.00 beta=90.00 gamma=90.00
With the nearest neighbours (Å) after each atom.
Element x y z (fractional)
Nb1 0.0000 0.0000 0.0000  8 Se 3.55, 4 As 3.58
As1 0.5000 0.5000 0.0000  2 Br 2.49
Se1 0.0000 0.5000 0.5000  2 Br 2.53
Se2 0.5000 0.0000 0.5000  2 Br 2.53
Br1 0.5000 0.5000 0.5000  2 As 2.49, 4 Se 2.53